CdHgW2 | PBE | relaxed

Cell and atoms, written as extended XYZ:
```
4
Lattice="9.936 -0.015 -0.009 9.511 2.876 -0.009 9.511 1.400 2.513" Properties=species:S:1:pos:R:3 pbc="T T T"
Hg 21.718 3.196 1.872
W 0.012 0.002 0.001
W 14.467 2.129 1.247
Cd 7.239 1.065 0.624
```

Calculated values
- E: -23.98 eV per cell
- Density of states at the Fermi level: 2.98 states/eV per cell
- Mass density: 15.61 g/cm³
- Formation enthalpy at 0 K: 0.79 eV per atom
- Space group: R-3m (166)
- Offset from the most stable computed form: 355 meV/atom